No. 1
{"formula": "RbBeSbTe2", "functional": "GGA-PBEsol", "state": "relaxed", "lattice_angstrom": [[5.9581, 0.0000, 0.0000], [0.0000, 6.0211, 0.0000], [0.0000, 0.0000, 6.0211]], "species": ["Te", "Sb", "Rb", "Be", "Te"], "frac_coords": [[0.0000, 0.5000, 0.0000], [0.5000, 0.0000, 0.0000], [0.0000, 0.0000, 0.0000], [0.5000, 0.5000, 0.5000], [0.0000, 0.0000, 0.5000]], "sg": "P4/mmm", "raw_formation_energy_ev_per_fu": 8.5}

No. 2
{"formula": "LiMg2Zr", "functional": "GGA-PBEsol", "state": "relaxed", "lattice_angstrom": [[-2.2499, 0.4770, 1.8635], [-0.0288, -2.6466, -1.3256], [5.7000, -4.0249, 7.9124]], "species": ["Li", "Zr", "Mg", "Mg"], "frac_coords": [[0.5000, 0.5000, 0.2449], [0.0000, 0.0000, 0.4995], [0.0000, 0.0000, 0.0046], [0.5000, 0.5000, 0.7510]], "sg": "Cmm2", "energy_ev_per_cell": -14.19}